Entry from Alexandria: a geometry-optimized TaCdSb3 structure (PBE).

Calculated values
The value obtained for the uncorrected formation energy is 389 meV/atom. Its space group is Pm-3m (221). The energy above the most stable polymorph in this dataset comes out at 0 meV per atom. The size of the total moment is 0.000 μB per atom. The value obtained for the total energy is -23.2 eV for the cell shown.

a = 5.3790 Å, b = 5.3790 Å, c = 5.3790 Å
α = 90.00°, β = 90.00°, γ = 90.00°
Atoms (fractional coordinates):
1 Ta 0.0000 0.0000 0.0000
2 Cd 0.5000 0.5000 0.5000
3 Sb 0.0000 0.0000 0.5000
4 Sb 0.0000 0.5000 0.0000
5 Sb 0.5000 0.0000 0.0000

Entry from Alexandria: a geometry-optimized TaCdSb2 structure (PBE).

Calculated values
The value obtained for the uncorrected formation energy is 123 meV/atom. Its space group is Cmmm (65). The energy above the most stable polymorph in this dataset comes out at 3 meV per atom. The size of the total moment is 0.000 μB per atom. The value obtained for the total energy is -41.0 eV for the cell shown.

a = 3.8337 Å, b = 4.9632 Å, c = 10.8119 Å
α = 90.00°, β = 90.00°, γ = 90.00°
Atoms (fractional coordinates):
1 Ta 0.0000 0.0000 0.0000
2 Ta 0.5000 0.5000 0.0000
3 Cd 0.0000 0.0000 0.5000
4 Cd 0.5000 0.5000 0.5000
5 Sb 0.0000 0.5000 0.1981
6 Sb 0.0000 0.5000 0.8019
7 Sb 0.5000 0.0000 0.1981
8 Sb 0.5000 0.0000 0.8019

Entry from Alexandria: a geometry-optimized TaCdSb2 structure (PBE).

Calculated values
The value obtained for the uncorrected formation energy is 447 meV/atom. Its space group is I-4m2 (119). The energy above the most stable polymorph in this dataset comes out at 326 meV per atom. The size of the total moment is 0.000 μB per atom. The value obtained for the total energy is -38.5 eV for the cell shown.

a = 4.2125 Å, b = 4.2125 Å, c = 10.2139 Å
α = 90.00°, β = 90.00°, γ = 90.00°
Atoms (fractional coordinates):
1 Ta 0.0000 0.0000 0.0000
2 Ta 0.5000 0.5000 0.5000
3 Cd 0.0000 0.5000 0.7500
4 Cd 0.5000 0.0000 0.2500
5 Sb 0.0000 0.0000 0.5000
6 Sb 0.0000 0.5000 0.2500
7 Sb 0.5000 0.0000 0.7500
8 Sb 0.5000 0.5000 0.0000

Entry from Alexandria: a geometry-optimized Ta2CdSb structure (PBE).

Calculated values
The value obtained for the uncorrected formation energy is 322 meV/atom. Its space group is P2/m (10). The energy above the most stable polymorph in this dataset comes out at 163 meV per atom. The size of the total moment is 0.000 μB per atom. The value obtained for the total energy is -27.5 eV for the cell shown.

a = 3.0039 Å, b = 4.6399 Å, c = 5.7983 Å
α = 90.00°, β = 100.92°, γ = 90.00°
Atoms (fractional coordinates):
1 Ta 0.2128 0.0000 0.2458
2 Ta 0.7872 0.0000 0.7542
3 Cd 0.5000 0.5000 0.0000
4 Sb 0.0000 0.5000 0.5000